{"formula": "SiWAu2", "functional": "PBE", "state": "optimized geometry", "rho_g_cm3": 15.13, "raw_formation_energy_mev_per_atom": 423, "magmom_total_mub_per_cell": 0.0, "volume_a3_per_atom": 16.62, "lattice": [[5.514, -0.006, 0.012], [2.520, 4.905, -0.012], [-3.244, -3.717, 2.463]], "species": ["Au", "Au", "Si", "W"], "frac_coords": [[0.002, 0.002, 0.000], [0.727, 0.227, 0.500], [0.498, 0.498, 0.000], [0.273, 0.773, 0.500]]}